No. 1
DFT (GGA-PBE) results for a geometry-optimized ZnAu structure.

a b c (Å): 8.3516 8.3516 2.7226
angles (deg): 90.00 90.00 90.00
With the nearest neighbours (Å) after each atom.
Fractional positions:
Zn (0.1891, 0.1891, 0.0000)  4 Au 2.61-2.66, 2 Zn 2.72
Zn (0.3109, 0.6891, 0.5000)  4 Au 2.61-2.66, 2 Zn 2.72
Zn (0.6891, 0.3109, 0.5000)  4 Au 2.61-2.66, 2 Zn 2.72
Zn (0.8109, 0.8109, 0.0000)  4 Au 2.61-2.66, 2 Zn 2.72
Au (0.1223, 0.8777, 0.0000)  4 Zn 2.61-2.66, 3 Au 2.72-2.89
Au (0.3777, 0.3777, 0.5000)  4 Zn 2.61-2.66, 3 Au 2.72-2.89
Au (0.6223, 0.6223, 0.5000)  4 Zn 2.61-2.66, 3 Au 2.72-2.89
Au (0.8777, 0.1223, 0.0000)  4 Zn 2.61-2.66, 3 Au 2.72-2.89

Results
**Size of the total moment**: 0.000 μB per atom
**Calculated volume**: 23.737 Å³/atom
**Crystal system**: tetragonal
**N(E_F)**: 4.060 states/eV/cell
**Raw total energy**: -17.97 eV per cell
**Formation energy**: 0.030 eV per atom
**Space group**: P4_2/mnm



No. 2
DFT (GGA-PBE) results for a geometry-optimized Zn8Au3 structure.

a b c (Å): 4.8336 4.8336 10.2305
angles (deg): 102.53 102.53 47.58
With the nearest neighbours (Å) after each atom.
Fractional positions:
Zn (0.0459, 0.0459, 0.3163)  4 Au 2.75-2.80, 8 Zn 2.77-2.85
Zn (0.1328, 0.1328, 0.9540)  7 Zn 2.73-2.89, 5 Au 2.76-2.85
Zn (0.2245, 0.2245, 0.5874)  8 Zn 2.75-2.85, 4 Au 2.78-2.81
Zn (0.3229, 0.3229, 0.2266)  4 Au 2.75-2.86, 8 Zn 2.77-2.89
Zn (0.6771, 0.6771, 0.7734)  4 Au 2.75-2.86, 8 Zn 2.77-2.89
Zn (0.7755, 0.7755, 0.4126)  8 Zn 2.75-2.85, 4 Au 2.78-2.81
Zn (0.8672, 0.8672, 0.0460)  7 Zn 2.73-2.89, 5 Au 2.76-2.85
Zn (0.9541, 0.9541, 0.6837)  4 Au 2.75-2.80, 8 Zn 2.77-2.85
Au (0.3979, 0.3979, 0.8556)  11 Zn 2.75-2.85, 1 Au 3.08
Au (0.5000, 0.5000, 0.5000)  12 Zn 2.78-2.86
Au (0.6021, 0.6021, 0.1444)  11 Zn 2.75-2.85, 1 Au 3.08

Results
**Size of the total moment**: 0.000 μB per atom
**Calculated volume**: 15.585 Å³/atom
**Crystal system**: monoclinic
**N(E_F)**: 3.334 states/eV/cell
**Raw total energy**: -21.49 eV per cell
**Formation energy**: -0.134 eV per atom
**Space group**: C2/m



No. 3
DFT (GGA-PBE) results for a geometry-optimized Zn8Au3 structure.

a b c (Å): 5.9355 5.9355 5.9355
angles (deg): 90.93 90.93 90.93
With the nearest neighbours (Å) after each atom.
Fractional positions:
Zn (0.2251, 0.2251, 0.7670)  3 Au 2.65, 3 Zn 2.67-2.73
Zn (0.2251, 0.7670, 0.2251)  3 Au 2.65, 3 Zn 2.67-2.73
Zn (0.2276, 0.2276, 0.2276)  3 Au 2.67, 3 Zn 2.73
Zn (0.2330, 0.7749, 0.7749)  3 Au 2.65, 3 Zn 2.67-2.73
Zn (0.7670, 0.2251, 0.2251)  3 Au 2.65, 3 Zn 2.67-2.73
Zn (0.7724, 0.7724, 0.7724)  3 Au 2.67, 3 Zn 2.73
Zn (0.7749, 0.2330, 0.7749)  3 Au 2.65, 3 Zn 2.67-2.73
Zn (0.7749, 0.7749, 0.2330)  3 Au 2.65, 3 Zn 2.67-2.73
Au (0.0000, 0.5000, 0.5000)  8 Zn 2.65-2.67
Au (0.5000, 0.0000, 0.5000)  8 Zn 2.65-2.67
Au (0.5000, 0.5000, 0.0000)  8 Zn 2.65-2.67

Results
**Size of the total moment**: 0.000 μB per atom
**Calculated volume**: 19.002 Å³/atom
**Crystal system**: trigonal
**N(E_F)**: 5.764 states/eV/cell
**Raw total energy**: -20.56 eV per cell
**Formation energy**: -0.049 eV per atom
**Space group**: R-3m



No. 4
DFT (GGA-PBE) results for a geometry-optimized ZnAu structure.

a b c (Å): 7.2412 7.2412 7.2412
angles (deg): 90.00 90.00 90.00
With the nearest neighbours (Å) after each atom.
Fractional positions:
Zn (0.0000, 0.2500, 0.5000)  4 Au 2.56
Zn (0.0000, 0.7500, 0.5000)  4 Au 2.56
Zn (0.2500, 0.5000, 0.0000)  4 Au 2.56
Zn (0.5000, 0.0000, 0.2500)  4 Au 2.56
Zn (0.5000, 0.0000, 0.7500)  4 Au 2.56
Zn (0.7500, 0.5000, 0.0000)  4 Au 2.56
Au (0.0000, 0.5000, 0.2500)  4 Zn 2.56
Au (0.0000, 0.5000, 0.7500)  4 Zn 2.56
Au (0.2500, 0.0000, 0.5000)  4 Zn 2.56
Au (0.5000, 0.2500, 0.0000)  4 Zn 2.56
Au (0.5000, 0.7500, 0.0000)  4 Zn 2.56
Au (0.7500, 0.0000, 0.5000)  4 Zn 2.56

Results
**Size of the total moment**: 0.000 μB per atom
**Calculated volume**: 31.642 Å³/atom
**Crystal system**: cubic
**N(E_F)**: 5.781 states/eV/cell
**Raw total energy**: -24.38 eV per cell
**Formation energy**: 0.244 eV per atom
**Space group**: Pm-3n



No. 5
DFT (GGA-PBE) results for a geometry-optimized Zn17Au12 structure.

a b c (Å): 8.6296 8.6296 8.6296
angles (deg): 109.47 109.47 109.47
With the nearest neighbours (Å) after each atom.
Fractional positions:
Zn (0.0000, 0.0000, 0.0000)  4 Zn 2.62
Zn (0.0000, 0.0000, 0.3032)  4 Zn 2.62-2.81
Zn (0.0000, 0.2966, 0.5700)  5 Au 2.65-2.72, 1 Zn 2.81
Zn (0.0000, 0.3032, 0.0000)  4 Zn 2.62-2.81
Zn (0.0000, 0.5700, 0.2966)  5 Au 2.65-2.72, 1 Zn 2.81
Zn (0.2734, 0.7034, 0.7034)  5 Au 2.65-2.72, 1 Zn 2.81
Zn (0.2966, 0.0000, 0.5700)  5 Au 2.65-2.72, 1 Zn 2.81
Zn (0.2966, 0.5700, 0.0000)  5 Au 2.65-2.72, 1 Zn 2.81
Zn (0.3032, 0.0000, 0.0000)  4 Zn 2.62-2.81
Zn (0.4300, 0.4300, 0.7266)  5 Au 2.65-2.72, 1 Zn 2.81
Zn (0.4300, 0.7266, 0.4300)  5 Au 2.65-2.72, 1 Zn 2.81
Zn (0.5700, 0.0000, 0.2966)  5 Au 2.65-2.72, 1 Zn 2.81
Zn (0.5700, 0.2966, 0.0000)  5 Au 2.65-2.72, 1 Zn 2.81
Zn (0.6968, 0.6968, 0.6968)  4 Zn 2.62-2.81
Zn (0.7034, 0.2734, 0.7034)  5 Au 2.65-2.72, 1 Zn 2.81
Zn (0.7034, 0.7034, 0.2734)  5 Au 2.65-2.72, 1 Zn 2.81
Zn (0.7266, 0.4300, 0.4300)  5 Au 2.65-2.72, 1 Zn 2.81
Au (0.0000, 0.5932, 0.7960)  5 Zn 2.65-2.72, 3 Au 2.86-2.88
Au (0.0000, 0.7960, 0.5932)  5 Zn 2.65-2.72, 3 Au 2.86-2.88
Au (0.2028, 0.4068, 0.4068)  5 Zn 2.65-2.72, 3 Au 2.86-2.88
Au (0.2040, 0.2040, 0.7972)  5 Zn 2.65-2.72, 3 Au 2.86-2.88
Au (0.2040, 0.7972, 0.2040)  5 Zn 2.65-2.72, 3 Au 2.86-2.88
Au (0.4068, 0.2028, 0.4068)  5 Zn 2.65-2.72, 3 Au 2.86-2.88
Au (0.4068, 0.4068, 0.2028)  5 Zn 2.65-2.72, 3 Au 2.86-2.88
Au (0.5932, 0.0000, 0.7960)  5 Zn 2.65-2.72, 3 Au 2.86-2.88
Au (0.5932, 0.7960, 0.0000)  5 Zn 2.65-2.72, 3 Au 2.86-2.88
Au (0.7960, 0.0000, 0.5932)  5 Zn 2.65-2.72, 3 Au 2.86-2.88
Au (0.7960, 0.5932, 0.0000)  5 Zn 2.65-2.72, 3 Au 2.86-2.88
Au (0.7972, 0.2040, 0.2040)  5 Zn 2.65-2.72, 3 Au 2.86-2.88

Results
**Size of the total moment**: 0.000 μB per atom
**Calculated volume**: 17.059 Å³/atom
**Crystal system**: cubic
**N(E_F)**: 9.418 states/eV/cell
**Raw total energy**: -64.18 eV per cell
**Formation energy**: -0.110 eV per atom
**Space group**: I-43m



No. 6
DFT (GGA-PBE) results for a geometry-optimized ZnAu structure.

a b c (Å): 9.0478 8.0030 5.4738
angles (deg): 90.00 90.00 90.00
With the nearest neighbours (Å) after each atom.
Fractional positions:
Zn (0.0957, 0.0514, 0.2500)  9 Au 2.64-2.87
Zn (0.0957, 0.4486, 0.7500)  9 Au 2.64-2.87
Zn (0.3578, 0.6141, 0.2500)  7 Au 2.63-2.80, 2 Zn 2.84
Zn (0.3578, 0.8859, 0.7500)  7 Au 2.63-2.80, 2 Zn 2.84
Zn (0.3953, 0.2500, 0.0000)  6 Au 2.72-2.89, 4 Zn 2.74-2.84
Zn (0.3953, 0.2500, 0.5000)  6 Au 2.72-2.89, 4 Zn 2.74-2.84
Zn (0.6047, 0.7500, 0.0000)  6 Au 2.72-2.89, 4 Zn 2.74-2.84
Zn (0.6047, 0.7500, 0.5000)  6 Au 2.72-2.89, 4 Zn 2.74-2.84
Zn (0.6422, 0.1141, 0.2500)  7 Au 2.63-2.80, 2 Zn 2.84
Zn (0.6422, 0.3859, 0.7500)  7 Au 2.63-2.80, 2 Zn 2.84
Zn (0.9043, 0.5514, 0.2500)  9 Au 2.64-2.87
Zn (0.9043, 0.9486, 0.7500)  9 Au 2.64-2.87
Au (0.1208, 0.7500, 0.0000)  4 Au 2.74-3.05, 6 Zn 2.77-2.87
Au (0.1208, 0.7500, 0.5000)  4 Au 2.74-3.05, 6 Zn 2.77-2.87
Au (0.1600, 0.1263, 0.7500)  7 Zn 2.63-2.86
Au (0.1600, 0.3737, 0.2500)  7 Zn 2.63-2.86
Au (0.3863, 0.5498, 0.7500)  9 Zn 2.66-2.89
Au (0.3863, 0.9502, 0.2500)  9 Zn 2.66-2.89
Au (0.6137, 0.0498, 0.7500)  9 Zn 2.66-2.89
Au (0.6137, 0.4502, 0.2500)  9 Zn 2.66-2.89
Au (0.8400, 0.6263, 0.7500)  7 Zn 2.63-2.86
Au (0.8400, 0.8737, 0.2500)  7 Zn 2.63-2.86
Au (0.8792, 0.2500, 0.0000)  4 Au 2.74-3.05, 6 Zn 2.77-2.87
Au (0.8792, 0.2500, 0.5000)  4 Au 2.74-3.05, 6 Zn 2.77-2.87

Results
**Size of the total moment**: 0.000 μB per atom
**Calculated volume**: 16.515 Å³/atom
**Crystal system**: orthorhombic
**N(E_F)**: 5.160 states/eV/cell
**Raw total energy**: -58.72 eV per cell
**Formation energy**: -0.171 eV per atom
**Space group**: Pbcm